Computed, not measured: a geometry-optimized LiAg3 structure at the PBEsol level of DFT.

abc: 6.366 6.366 6.366
angles: 90.00 90.00 90.00
Space group Fm-3m (No. 225)
Symmetry-distinct sites (fractional):
Li 0.000 0.000 0.000 x4
Ag 0.000 0.000 0.500 x4
Ag 0.250 0.250 0.250 x8

Computed properties:
Mass density in Mg/m³: 8.5
Formation energy in eV per formula unit: -0.42



Computed, not measured: a geometry-optimized CaZnFe structure at the PBEsol level of DFT.

abc: 3.0775 3.0775 6.6413
angles: 90.00 90.00 120.00
Space group P3m1 (No. 156)
Symmetry-distinct sites (fractional):
Ca 0.0000 0.0000 0.0000 x1
Zn 0.3333 0.6667 0.3817 x1
Fe 0.6667 0.3333 0.6555 x1

Computed properties:
Mass density in Mg/m³: 4.9
Formation energy in eV per formula unit: 1.68



Computed, not measured: a geometry-optimized Li3CdF structure at the PBEsol level of DFT.

abc: 4.130 4.130 4.130
angles: 90.00 90.00 90.00
Space group Pm-3m (No. 221)
Symmetry-distinct sites (fractional):
Li 0.000 0.000 0.500 x3
Cd 0.500 0.500 0.500 x1
F 0.000 0.000 0.000 x1

Computed properties:
Mass density in Mg/m³: 3.6
Raw formation energy in eV/atom: -1.150



Computed, not measured: a geometry-optimized Bi2Sb2Au structure at the PBEsol level of DFT.

abc: 4.054 4.054 17.274
angles: 90.00 90.00 90.00
Space group I4/mmm (No. 139)
Symmetry-distinct sites (fractional):
Bi 0.000 0.000 0.087 x4
Sb 0.000 0.500 0.250 x4
Au 0.000 0.000 0.500 x2

Computed properties:
Mass density in Mg/m³: 10.0
Raw formation energy in eV/atom: 0.272



Computed, not measured: a geometry-optimized Cr3Fe structure at the PBEsol level of DFT.

abc: 2.4636 2.4636 25.0189
angles: 90.00 90.00 120.00
Space group R-3m (No. 166, hexagonal axes)
Symmetry-distinct sites (fractional):
Cr 0.0000 0.0000 0.0000 x3
Cr 0.0000 0.0000 0.2460 x6
Fe 0.0000 0.0000 0.5000 x3

Computed properties:
Mass density in Mg/m³: 8.0
Formation energy in eV per formula unit: 1.06



Computed, not measured: a geometry-optimized TlSbPb2 structure at the PBEsol level of DFT.

abc: 6.927 11.433 3.284
angles: 90.00 117.70 90.00
Space group C2/m (No. 12)
Symmetry-distinct sites (fractional):
Tl 0.000 0.000 0.000 x2
Sb 0.000 0.500 0.000 x2
Pb 0.250 0.250 0.500 x4

Computed properties:
Mass density in Mg/m³: 10.7
Raw formation energy in eV/atom: 0.043
Energy relative to the lowest polymorph listed for this composition in meV/atom: 29.8



Computed, not measured: a geometry-optimized Be2TlNi structure at the PBEsol level of DFT.

abc: 5.199 8.231 2.907
angles: 90.00 121.07 90.00
Space group C2/m (No. 12)
Symmetry-distinct sites (fractional):
Be 0.250 0.250 0.000 x4
Tl 0.000 0.000 0.000 x2
Ni 0.000 0.500 0.000 x2

Computed properties:
Mass density in Mg/m³: 8.8
Energy relative to the lowest polymorph listed for this composition in meV/atom: 280.6
Formation energy in eV per formula unit: 2.03



Computed, not measured: a geometry-optimized KHfRhC2 structure at the PBEsol level of DFT.

abc: 4.216 4.216 4.456
angles: 90.00 90.00 90.00
Space group P4/mmm (No. 123)
Symmetry-distinct sites (fractional):
K 0.000 0.000 0.000 x1
Hf 0.500 0.500 0.500 x1
Rh 0.000 0.000 0.500 x1
C 0.000 0.500 0.000 x2

Computed properties:
Mass density in Mg/m³: 7.2
Formation energy in eV per formula unit: 15.67



Computed, not measured: a geometry-optimized Y2InAu structure at the PBEsol level of DFT.

abc: 4.580 3.825 11.292
angles: 90.00 90.00 90.00
Space group Amm2 (No. 38)
Symmetry-distinct sites (fractional):
Y 0.000 0.000 0.000 x2
Y 0.500 0.000 0.293 x2
In 0.500 0.000 0.570 x2
Au 0.000 0.000 0.732 x2

Computed properties:
Mass density in Mg/m³: 8.2
Formation energy in eV per formula unit: -2.72



Computed, not measured: a geometry-optimized Mg2SbBr structure at the PBEsol level of DFT.

abc: 7.320 7.320 7.320
angles: 90.00 90.00 90.00
Space group F-43m (No. 216)
Symmetry-distinct sites (fractional):
Mg 0.000 0.000 0.000 x4
Mg 0.250 0.250 0.250 x4
Sb 0.000 0.000 0.500 x4
Br 0.250 0.250 0.750 x4

Computed properties:
Mass density in Mg/m³: 4.2
Raw formation energy in eV/atom: -0.017
Energy relative to the lowest polymorph listed for this composition in meV/atom: 625.1



Computed, not measured: a geometry-optimized NaHBr2 structure at the PBEsol level of DFT.

abc: 3.7216 3.7216 23.4939
angles: 90.00 90.00 120.00
Space group R-3m (No. 166, hexagonal axes)
Symmetry-distinct sites (fractional):
Na 0.0000 0.0000 0.0000 x3
H 0.0000 0.0000 0.5000 x3
Br 0.0000 0.0000 0.1110 x6

Computed properties:
Mass density in Mg/m³: 3.2
Energy relative to the lowest polymorph listed for this composition in meV/atom: 878.0



Computed, not measured: a geometry-optimized KNi3Os structure at the PBEsol level of DFT.

abc: 4.213 4.213 4.213
angles: 90.00 90.00 90.00
Space group Pm-3m (No. 221)
Symmetry-distinct sites (fractional):
K 0.000 0.000 0.000 x1
Ni 0.000 0.000 0.500 x3
Os 0.500 0.500 0.500 x1

Computed properties:
Mass density in Mg/m³: 9.0
Formation energy in eV per formula unit: 13.01



Computed, not measured: a geometry-optimized Al2ZnInGe structure at the PBEsol level of DFT.

abc: 5.157 5.157 4.799
angles: 90.00 90.00 90.00
Space group P4/mmm (No. 123)
Symmetry-distinct sites (fractional):
Al 0.000 0.500 0.000 x2
Zn 0.000 0.000 0.500 x1
In 0.000 0.000 0.000 x1
Ge 0.500 0.500 0.500 x1

Computed properties:
Mass density in Mg/m³: 4.0
Formation energy in eV per formula unit: 4.64



Computed, not measured: a geometry-optimized InSbPb structure at the PBEsol level of DFT.

abc: 5.4835 5.4835 3.1763
angles: 90.00 90.00 120.00
Space group P3m1 (No. 156)
Symmetry-distinct sites (fractional):
In 0.0000 0.0000 0.0000 x1
Sb 0.6667 0.3333 0.8146 x1
Pb 0.3333 0.6667 0.5393 x1

Computed properties:
Mass density in Mg/m³: 8.9
Raw formation energy in eV/atom: 0.037
Energy relative to the lowest polymorph listed for this composition in meV/atom: 0.0



Computed, not measured: a geometry-optimized TaZn2Si structure at the PBEsol level of DFT.

abc: 6.194 6.194 6.194
angles: 90.00 90.00 90.00
Space group F-43m (No. 216)
Symmetry-distinct sites (fractional):
Ta 0.000 0.000 0.000 x4
Zn 0.000 0.000 0.500 x4
Zn 0.250 0.250 0.250 x4
Si 0.250 0.250 0.750 x4

Computed properties:
Mass density in Mg/m³: 9.5
Raw formation energy in eV/atom: 0.287



Computed, not measured: a geometry-optimized Li2YCd2 structure at the PBEsol level of DFT.

abc: 8.013 8.013 3.116
angles: 90.00 90.00 90.00
Space group P4/mbm (No. 127)
Symmetry-distinct sites (fractional):
Li 0.116 0.384 0.000 x4
Y 0.000 0.000 0.000 x2
Cd 0.182 0.682 0.500 x4

Computed properties:
Mass density in Mg/m³: 5.4
Energy relative to the lowest polymorph listed for this composition in meV/atom: 0.0
Formation energy in eV per formula unit: -1.10



Computed, not measured: a geometry-optimized ErIn2Ru structure at the PBEsol level of DFT.

abc: 3.933 9.920 8.520
angles: 90.00 90.00 90.00
Space group Cmcm (No. 63)
Symmetry-distinct sites (fractional):
Er 0.000 0.070 0.250 x4
In 0.000 0.356 0.045 x8
Ru 0.000 0.221 0.750 x4

Computed properties:
Mass density in Mg/m³: 10.0
Formation energy in eV per formula unit: -1.39



Computed, not measured: a geometry-optimized NiSnHgPt2 structure at the PBEsol level of DFT.

abc: 4.891 4.891 4.566
angles: 90.00 90.00 90.00
Space group P4/mmm (No. 123)
Symmetry-distinct sites (fractional):
Ni 0.000 0.000 0.000 x1
Sn 0.000 0.000 0.500 x1
Hg 0.500 0.500 0.000 x1
Pt 0.000 0.500 0.500 x2

Computed properties:
Mass density in Mg/m³: 11.7
Formation energy in eV per formula unit: 4.78



Computed, not measured: a geometry-optimized LiVSi2O6 structure at the PBEsol level of DFT.

abc: 9.747 8.563 5.261
angles: 90.00 110.21 90.00
Space group C2/c (No. 15)
Symmetry-distinct sites (fractional):
Li 0.000 0.234 0.250 x4
V 0.000 0.413 0.750 x4
Si 0.203 0.094 0.732 x8
O 0.117 0.409 0.153 x8
O 0.130 0.264 0.677 x8
O 0.143 0.009 0.434 x8

Computed properties:
Mass density in Mg/m³: 3.4
Raw formation energy in eV/atom: -2.575
Energy relative to the lowest polymorph listed for this composition in meV/atom: 2.0



Computed, not measured: a geometry-optimized CrPbSeN2 structure at the PBEsol level of DFT.

abc: 4.198 4.198 5.811
angles: 90.00 90.00 90.00
Space group P4/mmm (No. 123)
Symmetry-distinct sites (fractional):
Cr 0.000 0.000 0.000 x1
Pb 0.500 0.500 0.500 x1
Se 0.500 0.500 0.000 x1
N 0.000 0.500 0.500 x2

Computed properties:
Mass density in Mg/m³: 5.9
Raw formation energy in eV/atom: 1.790
Energy relative to the lowest polymorph listed for this composition in meV/atom: 1400.5



Computed, not measured: a geometry-optimized HfGaRu2Se structure at the PBEsol level of DFT.

abc: 4.785 4.785 4.998
angles: 90.00 90.00 90.00
Space group P4/mmm (No. 123)
Symmetry-distinct sites (fractional):
Hf 0.000 0.000 0.000 x1
Ga 0.500 0.500 0.500 x1
Ru 0.000 0.500 0.000 x2
Se 0.000 0.000 0.500 x1

Computed properties:
Mass density in Mg/m³: 7.7
Raw formation energy in eV/atom: 1.208



Computed, not measured: a geometry-optimized LiTcHg2 structure at the PBEsol level of DFT.

abc: 2.9174 2.9174 27.8735
angles: 90.00 90.00 120.00
Space group R-3m (No. 166, hexagonal axes)
Symmetry-distinct sites (fractional):
Li 0.0000 0.0000 0.0000 x3
Tc 0.0000 0.0000 0.5000 x3
Hg 0.0000 0.0000 0.2512 x6

Computed properties:
Mass density in Mg/m³: 12.3
Energy relative to the lowest polymorph listed for this composition in meV/atom: 139.8
Formation energy in eV per formula unit: 0.95



Computed, not measured: a geometry-optimized CdPb2Au structure at the PBEsol level of DFT.

abc: 4.439 3.864 11.426
angles: 90.00 90.00 90.00
Space group Amm2 (No. 38)
Symmetry-distinct sites (fractional):
Cd 0.000 0.000 0.000 x2
Pb 0.000 0.000 0.727 x2
Pb 0.500 0.000 0.416 x2
Au 0.500 0.000 0.154 x2

Computed properties:
Mass density in Mg/m³: 12.3
Formation energy in eV per formula unit: -0.05



Computed, not measured: a geometry-optimized Tl3Pb5 structure at the PBEsol level of DFT.

abc: 9.903 10.142 4.624
angles: 90.00 90.00 90.00
Space group Cmmm (No. 65)
Symmetry-distinct sites (fractional):
Tl 0.000 0.000 0.000 x2
Tl 0.247 0.000 0.500 x4
Pb 0.000 0.252 0.500 x4
Pb 0.000 0.500 0.000 x2
Pb 0.250 0.250 0.000 x4

Computed properties:
Mass density in Mg/m³: 11.8
Formation energy in eV per formula unit: -0.01



Computed, not measured: a geometry-optimized CoNi2As structure at the PBEsol level of DFT.

abc: 3.486 3.486 3.590
angles: 90.00 90.00 90.00
Space group P4/mmm (No. 123)
Symmetry-distinct sites (fractional):
Co 0.000 0.000 0.000 x1
Ni 0.000 0.500 0.500 x2
As 0.500 0.500 0.000 x1

Computed properties:
Mass density in Mg/m³: 9.6
Formation energy in eV per formula unit: -0.66



Computed, not measured: a geometry-optimized Ba5In5O12 structure at the PBEsol level of DFT.

abc: 5.913 7.233 9.621
angles: 71.83 72.75 88.34
Space group P-1 (No. 2)
Symmetry-distinct sites (fractional):
Ba 0.000 0.000 0.000 x1
Ba 0.200 0.784 0.600 x2
Ba 0.390 0.597 0.200 x2
In 0.000 0.500 0.000 x1
In 0.179 0.274 0.608 x2
In 0.409 0.085 0.208 x2
O 0.000 0.500 0.500 x1
O 0.052 0.977 0.270 x2
O 0.104 0.403 0.800 x2
O 0.314 0.217 0.391 x2
O 0.318 0.683 0.912 x2
O 0.484 0.177 0.666 x2
O 0.500 0.000 0.000 x1

Computed properties:
Mass density in Mg/m³: 6.5
Raw formation energy in eV/atom: -1.990



Computed, not measured: a geometry-optimized CaCd4In structure at the PBEsol level of DFT.

abc: 8.284 8.284 8.284
angles: 90.00 90.00 90.00
Space group F-43m (No. 216)
Symmetry-distinct sites (fractional):
Ca 0.000 0.000 0.000 x4
Cd 0.125 0.125 0.375 x16
In 0.250 0.250 0.750 x4

Computed properties:
Mass density in Mg/m³: 7.1
Formation energy in eV per formula unit: -0.98